## PrTiSi2Os (GGA-PBE)

Data for a geometry-optimized PrTiSi2Os structure.

Computed properties:
Crystal system ... tetragonal
Space group ... No. 119
ΔE_f (raw) ... -0.7476 eV per atom
Volume ... 90.5 Å³/f.u.

a b c (Å): 4.068 4.068 6.181
angles (deg): 109.22 109.22 90.00
Atoms (fractional coordinates):
Pr1 0.000 0.000 0.000
Ti1 0.250 0.750 0.500
Si1 0.615 0.615 0.231
Si2 0.385 0.385 0.769
Os1 0.750 0.250 0.500